[1]
Here is an optimized crystal structure of AcTmBi2 from Alexandria. Energies are from PBE.

Results
The energy above the most stable polymorph in this dataset comes out at 259.6 meV/atom.

Cell: 5.6978 5.6978 5.6978 Å, 60.00 60.00 60.00°
Last column: nearest neighbours and their distance in Å.
Element x y z (fractional)
Tm 0.0000 0.0000 0.0000  8 Bi 3.49
Ac 0.5000 0.5000 0.5000  8 Bi 3.49
Bi 0.2500 0.2500 0.2500  4 Tm 3.49, 4 Ac 3.49
Bi 0.7500 0.7500 0.7500  4 Ac 3.49, 4 Tm 3.49

[2]
Here is an optimized crystal structure of AcTm2Bi from Alexandria. Energies are from PBE.

Results
The energy above the most stable polymorph in this dataset comes out at 224.2 meV/atom.

Cell: 5.6005 5.6005 5.6006 Å, 60.00 60.00 60.00°
Last column: nearest neighbours and their distance in Å.
Element x y z (fractional)
Bi 0.5000 0.5000 0.5000  8 Tm 3.43
Tm 0.7500 0.7500 0.7499  4 Ac 3.43, 4 Bi 3.43
Tm 0.2500 0.2500 0.2501  4 Ac 3.43, 4 Bi 3.43
Ac 0.0000 0.0000 0.0000  8 Tm 3.43

[3]
Here is an optimized crystal structure of AcTmBi2 from Alexandria. Energies are from PBE.

Results
The energy above the most stable polymorph in this dataset comes out at 0.0 meV/atom.

Cell: 4.6675 4.6675 8.0434 Å, 73.13 73.13 60.00°
Last column: nearest neighbours and their distance in Å.
Element x y z (fractional)
Bi 0.7411 0.7411 0.7766  3 Tm 3.18, 3 Ac 3.41
Bi 0.2589 0.2589 0.2234  3 Tm 3.18, 3 Ac 3.41
Ac 0.5000 0.5000 0.5000  6 Bi 3.41
Tm 0.0000 0.0000 0.0000  6 Bi 3.18

[4]
Here is an optimized crystal structure of AcTmBi2 from Alexandria. Energies are from PBE.

Results
The energy above the most stable polymorph in this dataset comes out at 703.2 meV/atom.

Cell: 3.9782 3.9782 11.3516 Å, 79.91 79.91 60.00°
Last column: nearest neighbours and their distance in Å.
Element x y z (fractional)
Ac 0.0000 0.0000 0.0000  2 Bi 3.35
Tm 0.5000 0.5000 0.5000  6 Bi 3.18
Bi 0.8995 0.8995 0.3016  3 Tm 3.18, 1 Ac 3.35
Bi 0.1005 0.1005 0.6984  3 Tm 3.18, 1 Ac 3.35

[5]
Here is an optimized crystal structure of AcTmBi from Alexandria. Energies are from PBE.

Results
The energy above the most stable polymorph in this dataset comes out at 120.5 meV/atom.

Cell: 4.3713 5.3353 5.3353 Å, 120.00 90.00 90.00°
Last column: nearest neighbours and their distance in Å.
Element x y z (fractional)
Tm 0.1666 0.3333 0.6667  3 Bi 3.08
Bi 0.1667 0.0000 0.0000  3 Tm 3.08
Ac 0.6667 0.6667 0.3333  6 Tm 3.78, 6 Bi 3.78

[6]
Here is an optimized crystal structure of AcTm5Bi6 from Alexandria. Energies are from PBE.

Results
The calculation puts the electronic total energy at -4.940 eV per atom.

Cell: 7.8214 7.8214 7.8195 Å, 99.66 99.66 120.02°
Last column: nearest neighbours and their distance in Å.
Element x y z (fractional)
Bi 0.5641 0.9125 0.7389  5 Tm 3.11-3.21, 1 Ac 3.33
Bi 0.7354 0.7354 0.2543  5 Tm 3.07-3.18, 1 Ac 3.32
Bi 0.0875 0.4359 0.2611  5 Tm 3.11-3.21, 1 Ac 3.33
Bi 0.9125 0.5641 0.7389  5 Tm 3.11-3.21, 1 Ac 3.33
Bi 0.2646 0.2646 0.7457  5 Tm 3.07-3.18, 1 Ac 3.32
Bi 0.4359 0.0875 0.2611  5 Tm 3.11-3.21, 1 Ac 3.33
Tm 0.6691 0.3309 0.0000  6 Bi 3.17-3.19
Tm 0.3309 0.6691 0.0000  6 Bi 3.17-3.19
Tm 0.8401 0.1599 0.5000  6 Bi 3.11-3.21
Tm 0.1599 0.8401 0.5000  6 Bi 3.11-3.21
Tm 0.5000 0.5000 0.5000  6 Bi 3.07-3.19
Ac 0.0000 0.0000 0.0000  6 Bi 3.32-3.33

[7]
Here is an optimized crystal structure of AcTm2Bi from Alexandria. Energies are from PBE.

Results
The energy above the most stable polymorph in this dataset comes out at 18.3 meV/atom.

Cell: 5.0460 5.0190 5.0190 Å, 90.00 90.00 90.00°
Last column: nearest neighbours and their distance in Å.
Element x y z (fractional)
Tm 0.0000 0.0000 0.5000  4 Tm 3.55, 4 Ac 3.56, 4 Bi 3.56
Tm 0.0000 0.5000 0.0000  4 Tm 3.55, 4 Ac 3.56, 4 Bi 3.56
Bi 0.5000 0.0000 0.0000  4 Ac 3.55, 8 Tm 3.56
Ac 0.5000 0.5000 0.5000  4 Bi 3.55, 8 Tm 3.56

[8]
Here is an optimized crystal structure of Ac3TmBi4 from Alexandria. Energies are from PBE.

Results
The calculation puts the electronic total energy at -4.956 eV per atom.

Cell: 8.2749 8.2660 9.5680 Å, 90.00 90.00 109.52°
Last column: nearest neighbours and their distance in Å.
Element x y z (fractional)
Bi 0.0007 0.2315 0.1151  2 Tm 3.24-3.25, 4 Ac 3.37-3.51
Bi 0.9905 0.2417 0.6339  1 Tm 3.27, 5 Ac 3.37-3.52
Bi 0.5007 0.2315 0.8849  2 Tm 3.24-3.25, 4 Ac 3.37-3.51
Bi 0.4905 0.2417 0.3661  1 Tm 3.27, 5 Ac 3.37-3.52
Bi 0.4993 0.7685 0.1151  2 Tm 3.24-3.25, 4 Ac 3.37-3.51
Bi 0.9993 0.7685 0.8849  2 Tm 3.24-3.25, 4 Ac 3.37-3.51
Bi 0.0095 0.7583 0.3661  1 Tm 3.27, 5 Ac 3.37-3.52
Bi 0.5095 0.7583 0.6339  1 Tm 3.27, 5 Ac 3.37-3.52
Ac 0.7500 0.0000 0.3728  6 Bi 3.38-3.40
Ac 0.2500 0.5000 0.3720  6 Bi 3.37-3.52
Ac 0.7500 0.5000 0.1237  6 Bi 3.37-3.51
Ac 0.2500 0.5000 0.8763  6 Bi 3.37-3.51
Ac 0.7500 0.5000 0.6280  6 Bi 3.37-3.52
Ac 0.2500 0.0000 0.6272  6 Bi 3.38-3.40
Tm 0.7500 0.0000 0.8764  6 Bi 3.24-3.27
Tm 0.2500 0.0000 0.1236  6 Bi 3.24-3.27

[9]
Here is an optimized crystal structure of AcTmBi2 from Alexandria. Energies are from PBE.

Results
The energy above the most stable polymorph in this dataset comes out at 267.5 meV/atom.

Cell: 3.5687 6.0354 6.0354 Å, 90.00 90.00 90.00°
Last column: nearest neighbours and their distance in Å.
Element x y z (fractional)
Tm 0.5000 0.5000 0.5000  8 Bi 3.51, 2 Tm 3.57
Bi 0.0000 0.0000 0.5000  4 Ac 3.51, 4 Tm 3.51, 2 Bi 3.57
Bi 0.0000 0.5000 0.0000  4 Ac 3.51, 4 Tm 3.51, 2 Bi 3.57
Ac 0.5000 0.0000 0.0000  8 Bi 3.51, 2 Ac 3.57

[10]
Here is an optimized crystal structure of AcTm2Bi from Alexandria. Energies are from PBE.

Results
The energy above the most stable polymorph in this dataset comes out at 0.0 meV/atom.

Cell: 4.0182 4.0182 7.9746 Å, 90.00 90.00 90.00°
Last column: nearest neighbours and their distance in Å.
Element x y z (fractional)
Tm 0.0000 0.0000 0.7916  4 Bi 3.29, 1 Tm 3.32, 4 Ac 3.67
Tm 0.0000 0.0000 0.2084  4 Bi 3.29, 1 Tm 3.32, 4 Ac 3.67
Bi 0.5000 0.5000 0.0000  8 Tm 3.29
Ac 0.5000 0.5000 0.5000  8 Tm 3.67, 2 Bi 3.99, 4 Ac 4.02

no.,density of states at the Fermi level (states/eV/f.u.)
1,2.31
2,5.32
3,0.61
4,4.73
5,4.58
6,2.24
7,5.45
8,0.96
9,2.38
10,5.05